The following is a PBE+U calculation of a relaxed structure of Cs2CoO2, from the Open Quantum Materials Database.

Computed properties:
- final energy (eV/atom) = -4.483
- space-group type = I4/mmm

abc: 7.5416 7.5416 7.5416
angles: 146.65 146.65 47.89
Site moments in Bohr magnetons follow the coordinates.
Sites, in units of the cell vectors:
1 O 0.8752 0.8752 0.0000  0.22
2 O 0.1248 0.1248 0.0000  0.22
3 Cs 0.6552 0.6552 0.0000  0.00
4 Cs 0.3448 0.3448 0.0000  0.00
5 Co 0.0000 0.0000 0.0000  2.49